A plane-wave DFT calculation with PBE was carried out for crystalline CoAgAu2 at its relaxed geometry.

abc: 3.785 4.178 4.178
angles: 90.00 90.00 90.00
Fractional positions:
Co: 0.500 0.500 0.000
Au: 0.000 0.000 0.000
Au: 0.000 0.500 0.500
Ag: 0.500 0.000 0.500

Calculated values
energy relative to the lowest polymorph listed for this composition = 0.53 eV per formula unit
ΔH_f (0 K) = 257 meV per atom

A plane-wave DFT calculation with PBE was carried out for crystalline CoAgAu2 at its relaxed geometry.

abc: 2.863 3.793 6.055
angles: 90.00 90.00 90.00
Fractional positions:
Co: 0.000 0.000 0.491
Ag: 0.500 0.500 0.736
Au: 0.500 0.500 0.276
Au: 0.000 0.000 0.997

Calculated values
energy relative to the lowest polymorph listed for this composition = 0.40 eV per formula unit
ΔH_f (0 K) = 222 meV per atom

A plane-wave DFT calculation with PBE was carried out for crystalline CoAgAu2 at its relaxed geometry.

abc: 2.866 2.867 8.439
angles: 70.25 90.00 90.00
Fractional positions:
Au: 0.000 0.976 0.024
Au: 0.000 0.524 0.476
Co: 0.500 0.250 0.250
Ag: 0.500 0.750 0.750

Calculated values
energy relative to the lowest polymorph listed for this composition = 0.00 eV per formula unit
ΔH_f (0 K) = 123 meV per atom

A plane-wave DFT calculation with PBE was carried out for crystalline Co3AgAu at its relaxed geometry.

abc: 4.690 4.690 4.690
angles: 90.00 90.00 90.00
Fractional positions:
Ag: 0.500 0.500 0.500
Co: 0.000 0.000 0.500
Au: 0.000 0.000 0.000
Co: 0.000 0.500 0.000
Co: 0.500 0.000 0.000

Calculated values
energy relative to the lowest polymorph listed for this composition = 0.00 eV per formula unit
ΔH_f (0 K) = 1475 meV per atom

A plane-wave DFT calculation with PBE was carried out for crystalline CoAgAu2 at its relaxed geometry.

abc: 4.959 4.959 4.980
angles: 80.07 80.07 32.96
Fractional positions:
Ag: 0.242 0.242 0.251
Co: 0.498 0.498 0.511
Au: 0.759 0.759 0.731
Au: 0.000 0.000 0.007

Calculated values
energy relative to the lowest polymorph listed for this composition = 0.34 eV per formula unit
ΔH_f (0 K) = 208 meV per atom

A plane-wave DFT calculation with PBE was carried out for crystalline CoAgAu2 at its relaxed geometry.

abc: 4.880 4.880 5.094
angles: 79.51 79.51 33.57
Fractional positions:
Ag: 0.250 0.250 0.250
Co: 0.750 0.750 0.750
Au: 0.011 0.011 0.989
Au: 0.489 0.489 0.511

Calculated values
energy relative to the lowest polymorph listed for this composition = 0.44 eV per formula unit
ΔH_f (0 K) = 234 meV per atom

A plane-wave DFT calculation with PBE was carried out for crystalline CoAgAu2 at its relaxed geometry.

abc: 4.541 4.541 4.541
angles: 60.00 60.00 60.00
Fractional positions:
Au: 0.750 0.750 0.750
Co: 0.250 0.250 0.250
Ag: 0.500 0.500 0.500
Au: 0.000 0.000 0.000

Calculated values
energy relative to the lowest polymorph listed for this composition = 0.66 eV per formula unit
ΔH_f (0 K) = 288 meV per atom

A plane-wave DFT calculation with PBE was carried out for crystalline CoAgAu2 at its relaxed geometry.

abc: 4.534 4.534 4.534
angles: 60.00 60.00 60.00
Fractional positions:
Ag: 0.500 0.500 0.500
Au: 0.250 0.250 0.250
Co: 0.000 0.000 0.000
Au: 0.750 0.750 0.750

Calculated values
energy relative to the lowest polymorph listed for this composition = 0.56 eV per formula unit
ΔH_f (0 K) = 263 meV per atom

A plane-wave DFT calculation with PBE was carried out for crystalline CoAgAu at its relaxed geometry.

abc: 4.927 4.927 5.731
angles: 107.17 107.17 46.92
Fractional positions:
Ag: 0.535 0.535 0.730
Co: 0.880 0.880 0.947
Au: 0.544 0.544 0.242
Co: 0.873 0.873 0.360
Ag: 0.218 0.218 0.577
Au: 0.210 0.210 0.065

Calculated values
energy relative to the lowest polymorph listed for this composition = 0.17 eV per formula unit
ΔH_f (0 K) = 309 meV per atom

A plane-wave DFT calculation with PBE was carried out for crystalline Co3AgAu at its relaxed geometry.

abc: 4.614 4.614 4.614
angles: 90.00 90.00 90.00
Fractional positions:
Co: 0.500 0.000 0.000
Co: 0.000 0.500 0.000
Co: 0.000 0.000 0.500
Au: 0.500 0.500 0.500
Ag: 0.000 0.000 0.000

Calculated values
energy relative to the lowest polymorph listed for this composition = 0.99 eV per formula unit
ΔH_f (0 K) = 1672 meV per atom

A plane-wave DFT calculation with PBE was carried out for crystalline CoAgAu2 at its relaxed geometry.

abc: 4.822 4.822 2.844
angles: 90.00 90.00 90.00
Fractional positions:
Au: 0.000 0.000 0.000
Co: 0.500 0.000 0.500
Au: 0.500 0.500 0.000
Ag: 0.000 0.500 0.500

Calculated values
energy relative to the lowest polymorph listed for this composition = 0.39 eV per formula unit
ΔH_f (0 K) = 220 meV per atom

A plane-wave DFT calculation with PBE was carried out for crystalline CoAgAu at its relaxed geometry.

abc: 4.252 4.252 4.252
angles: 60.00 60.00 60.00
Fractional positions:
Ag: 0.000 0.000 0.000
Au: 0.500 0.500 0.500
Co: 0.750 0.750 0.750

Calculated values
energy relative to the lowest polymorph listed for this composition = 0.87 eV per formula unit
ΔH_f (0 K) = 541 meV per atom

A plane-wave DFT calculation with PBE was carried out for crystalline CoAgAu2 at its relaxed geometry.

abc: 4.959 4.959 4.959
angles: 132.21 132.21 69.91
Fractional positions:
Co: 0.500 0.500 0.000
Ag: 0.750 0.250 0.500
Au: 0.250 0.750 0.500
Au: 0.000 0.000 0.000

Calculated values
energy relative to the lowest polymorph listed for this composition = 0.47 eV per formula unit
ΔH_f (0 K) = 241 meV per atom

A plane-wave DFT calculation with PBE was carried out for crystalline CoAgAu2 at its relaxed geometry.

abc: 9.486 9.486 9.486
angles: 17.32 17.32 17.32
Fractional positions:
Co: 0.500 0.500 0.500
Au: 0.243 0.243 0.243
Ag: 0.756 0.756 0.756
Au: 0.001 0.001 0.001

Calculated values
energy relative to the lowest polymorph listed for this composition = 0.45 eV per formula unit
ΔH_f (0 K) = 235 meV per atom

A plane-wave DFT calculation with PBE was carried out for crystalline CoAgAu2 at its relaxed geometry.

abc: 3.890 3.890 9.923
angles: 78.70 78.70 90.00
Fractional positions:
Ag: 0.750 0.250 0.500
Au: 0.618 0.125 0.250
Au: 0.132 0.625 0.250
Co: 0.500 0.500 0.000
Co: 0.250 0.750 0.500
Au: 0.875 0.868 0.750
Au: 0.375 0.382 0.750
Ag: 0.000 0.000 0.000

Calculated values
energy relative to the lowest polymorph listed for this composition = 1.45 eV per formula unit
ΔH_f (0 K) = 486 meV per atom

A plane-wave DFT calculation with PBE was carried out for crystalline CoAgAu2 at its relaxed geometry.

abc: 4.931 4.931 2.817
angles: 90.01 90.01 106.63
Fractional positions:
Au: 0.500 0.500 0.000
Au: 0.000 0.000 0.000
Co: 0.500 0.000 0.500
Ag: 0.000 0.500 0.500

Calculated values
energy relative to the lowest polymorph listed for this composition = 0.32 eV per formula unit
ΔH_f (0 K) = 203 meV per atom

A plane-wave DFT calculation with PBE was carried out for crystalline CoAgAu2 at its relaxed geometry.

abc: 9.207 9.207 9.207
angles: 18.11 18.11 18.11
Fractional positions:
Au: 0.506 0.506 0.506
Au: 0.994 0.994 0.994
Co: 0.250 0.250 0.250
Ag: 0.750 0.750 0.750

Calculated values
energy relative to the lowest polymorph listed for this composition = 0.29 eV per formula unit
ΔH_f (0 K) = 195 meV per atom

A plane-wave DFT calculation with PBE was carried out for crystalline CoAgAu2 at its relaxed geometry.

abc: 4.855 4.855 4.855
angles: 129.93 129.93 73.51
Fractional positions:
Ag: 0.750 0.250 0.500
Au: 0.500 0.500 0.000
Co: 0.250 0.750 0.500
Au: 0.000 0.000 0.000

Calculated values
energy relative to the lowest polymorph listed for this composition = 0.44 eV per formula unit
ΔH_f (0 K) = 233 meV per atom

A plane-wave DFT calculation with PBE was carried out for crystalline Co4AgAu at its relaxed geometry.

abc: 4.847 4.847 4.847
angles: 60.00 60.00 60.00
Fractional positions:
Co: 0.375 0.375 0.375
Co: 0.375 0.375 0.875
Au: 0.000 0.000 0.000
Ag: 0.750 0.750 0.750
Co: 0.375 0.875 0.375
Co: 0.875 0.375 0.375

Calculated values
ΔH_f (0 K) = 261 meV per atom

A plane-wave DFT calculation with PBE was carried out for crystalline CoAgAu at its relaxed geometry.

abc: 2.825 2.825 6.881
angles: 90.00 90.00 120.00
Fractional positions:
Ag: 0.000 0.000 0.985
Co: 0.667 0.333 0.665
Au: 0.333 0.667 0.350

Calculated values
energy relative to the lowest polymorph listed for this composition = 0.10 eV per formula unit
ΔH_f (0 K) = 284 meV per atom

A plane-wave DFT calculation with PBE was carried out for crystalline CoAg3Au at its relaxed geometry.

abc: 4.764 4.764 4.764
angles: 90.00 90.00 90.00
Fractional positions:
Ag: 0.000 0.000 0.500
Au: 0.500 0.500 0.500
Ag: 0.500 0.000 0.000
Ag: 0.000 0.500 0.000
Co: 0.000 0.000 0.000

Calculated values
energy relative to the lowest polymorph listed for this composition = 0.00 eV per formula unit
ΔH_f (0 K) = 969 meV per atom

A plane-wave DFT calculation with PBE was carried out for crystalline CoAgAu at its relaxed geometry.

abc: 4.974 4.974 4.974
angles: 147.49 133.67 57.74
Fractional positions:
Co: 0.330 0.330 0.000
Ag: 0.995 0.995 0.000
Au: 0.675 0.675 0.000

Calculated values
energy relative to the lowest polymorph listed for this composition = 0.18 eV per formula unit
ΔH_f (0 K) = 309 meV per atom

A plane-wave DFT calculation with PBE was carried out for crystalline CoAgAu2 at its relaxed geometry.

abc: 3.018 4.730 4.660
angles: 90.00 90.00 90.00
Fractional positions:
Ag: 0.000 0.500 0.500
Au: 0.000 0.000 0.000
Co: 0.500 0.000 0.500
Au: 0.500 0.500 0.000

Calculated values
energy relative to the lowest polymorph listed for this composition = 0.74 eV per formula unit
ΔH_f (0 K) = 308 meV per atom

A plane-wave DFT calculation with PBE was carried out for crystalline CrCoAgAu2 at its relaxed geometry.

abc: 4.845 4.112 4.845
angles: 90.00 90.00 90.00
Fractional positions:
Ag: 0.500 0.500 0.500
Cr: 0.000 0.500 0.000
Co: 0.000 0.000 0.000
Au: 0.500 0.000 0.000
Au: 0.000 0.000 0.500

Calculated values
ΔH_f (0 K) = 740 meV per atom

A plane-wave DFT calculation with PBE was carried out for crystalline CoAgHAu2 at its relaxed geometry.

abc: 4.596 4.596 3.236
angles: 90.00 90.00 90.00
Fractional positions:
Au: 0.500 0.000 0.000
Au: 0.000 0.500 0.000
Ag: 0.500 0.500 0.500
Co: 0.000 0.000 0.500
H: 0.000 0.000 0.000

A plane-wave DFT calculation with PBE was carried out for crystalline InCoAgAu2 at its relaxed geometry.

abc: 4.842 4.799 4.842
angles: 90.00 90.00 90.00
Fractional positions:
Co: 0.000 0.000 0.000
In: 0.000 0.500 0.000
Au: 0.500 0.000 0.000
Au: 0.000 0.000 0.500
Ag: 0.500 0.500 0.500

Calculated values
ΔH_f (0 K) = 555 meV per atom

A plane-wave DFT calculation with PBE was carried out for crystalline La4CoAgAu at its relaxed geometry.

abc: 7.237 7.289 8.738
angles: 90.00 114.46 90.00
Fractional positions:
La: 0.431 0.750 0.861
La: 0.936 0.250 0.872
La: 0.569 0.250 0.139
La: 0.500 0.000 0.500
La: 0.000 0.000 0.500
La: 0.500 0.500 0.500
Au: 0.878 0.750 0.756
Au: 0.122 0.250 0.244
Ag: 0.619 0.750 0.237
Co: 0.249 0.750 0.497
Co: 0.751 0.250 0.503
Ag: 0.381 0.250 0.763
La: 0.064 0.750 0.128
La: 0.000 0.500 0.500

Calculated values
ΔH_f (0 K) = -262 meV per atom

A plane-wave DFT calculation with PBE was carried out for crystalline MnCoAgAu2 at its relaxed geometry.

abc: 4.796 4.418 4.796
angles: 90.00 90.00 90.00
Fractional positions:
Au: 0.000 0.000 0.500
Au: 0.500 0.000 0.000
Ag: 0.500 0.500 0.500
Co: 0.000 0.000 0.000
Mn: 0.000 0.500 0.000

Calculated values
ΔH_f (0 K) = 704 meV per atom

A plane-wave DFT calculation with PBE was carried out for crystalline NbCoAgAu2 at its relaxed geometry.

abc: 4.852 4.302 4.852
angles: 90.00 90.00 90.00
Fractional positions:
Nb: 0.000 0.500 0.000
Au: 0.500 0.000 0.000
Co: 0.000 0.000 0.000
Ag: 0.500 0.500 0.500
Au: 0.000 0.000 0.500

Calculated values
ΔH_f (0 K) = 674 meV per atom

no.,raw total energy (eV per atom),total magnetization (μB/f.u.)
1,-3.87,1.9
2,-3.91,1.8
3,-4.00,1.9
4,-4.01,6.1
5,-3.92,1.8
6,-3.89,1.7
7,-3.84,1.8
8,-3.86,1.7
9,-4.10,1.8
10,-3.82,5.8
11,-3.91,1.7
12,-3.87,1.9
13,-3.89,1.8
14,-3.89,1.8
15,-3.64,2.0
16,-3.93,1.8
17,-3.93,1.8
18,-3.90,1.8
19,-5.50,7.1
20,-4.13,1.7
21,-2.82,1.8
22,-4.10,1.8
23,-3.82,1.8
24,-4.49,2.4
25,-3.73,1.2
26,-3.30,1.3
27,-4.97,0.0
28,-4.43,5.7
29,-4.64,0.0